## Ba2Ga2I7 (PBE)

Data for a geometry-optimized Ba2Ga2I7 structure.

a = 8.2622 Å, b = 8.9558 Å, c = 8.9558 Å
α = 108.17°, β = 95.46°, γ = 95.46°
Fractional coordinates of all 11 atoms:
Ba 0.0000 0.3105 0.6895
Ba 0.0000 0.6895 0.3105
Ga 0.4103 0.2477 0.2477
Ga 0.5897 0.7523 0.7523
I 0.7738 0.9360 0.5729
I 0.2262 0.4271 0.0640
I 0.2262 0.0640 0.4271
I 0.7738 0.5729 0.9360
I 0.5000 0.0000 0.0000
I 0.2565 0.5791 0.5791
I 0.7435 0.4209 0.4209

Output
- Raw formation energy: -1050.6 meV per atom
- Space-group type: No. 12



## DyMgSc3 (PBE)

Data for a geometry-optimized DyMgSc3 structure.

a = 3.3971 Å, b = 6.2885 Å, c = 12.4111 Å
α = 86.68°, β = 90.00°, γ = 74.31°
Fractional coordinates of all 10 atoms:
Dy 0.2403 0.5197 0.7749
Dy 0.7597 0.4803 0.2251
Mg 0.5620 0.8763 0.6178
Mg 0.4380 0.1237 0.3822
Sc 0.1574 0.6853 0.4297
Sc 0.3692 0.2613 0.0179
Sc 0.0301 0.9398 0.1830
Sc 0.8426 0.3147 0.5703
Sc 0.9699 0.0602 0.8171
Sc 0.6308 0.7387 0.9821

Output
- E above lowest polymorph: 0.0 meV per atom
- Formation enthalpy at 0 K: 0.02 eV per formula unit
- Space-group type: No. 12



## MoHSe2 (PBE)

Data for a geometry-optimized MoHSe2 structure.

a = 4.4212 Å, b = 4.4212 Å, c = 4.4212 Å
α = 60.00°, β = 60.00°, γ = 60.00°
Site moments in Bohr magnetons follow the coordinates.
Fractional coordinates of all 4 atoms:
H 0.0000 0.0000 0.0000  -0.09
Mo 0.5000 0.5000 0.5000  1.63
Se 0.2500 0.2500 0.2500  -0.05
Se 0.7500 0.7500 0.7500  -0.05

Output
- E above lowest polymorph: 686.3 meV per atom
- Space-group type: No. 225



## La2SbCl2 (PBE)

Data for a geometry-optimized La2SbCl2 structure.

a = 4.4153 Å, b = 4.4153 Å, c = 8.0380 Å
α = 74.06°, β = 74.06°, γ = 90.00°
Site moments in Bohr magnetons follow the coordinates.
Fractional coordinates of all 5 atoms:
Sb 0.0000 0.0000 0.0000  -0.02
Cl 0.7500 0.2500 0.5000  0.00
Cl 0.2500 0.7500 0.5000  0.00
La 0.3828 0.3828 0.2343  0.27
La 0.6172 0.6172 0.7657  0.27

Output
- Raw formation energy: -1650.9 meV per atom
- Space-group type: No. 139



## MgZn2Hg (PBE)

Data for a geometry-optimized MgZn2Hg structure.

a = 3.2379 Å, b = 3.2379 Å, c = 8.8841 Å
α = 79.50°, β = 79.50°, γ = 60.00°
Fractional coordinates of all 4 atoms:
Mg 0.6665 0.6665 0.0004
Zn 0.0827 0.0827 0.7518
Zn 0.2505 0.2505 0.2485
Hg 0.5002 0.5002 0.4993

Output
- E above lowest polymorph: 91.6 meV per atom
- Formation enthalpy at 0 K: 0.24 eV per formula unit
- Space-group type: No. 160



## Ho4Ag2HgIr (PBE)

Data for a geometry-optimized Ho4Ag2HgIr structure.

a = 5.0719 Å, b = 5.0719 Å, c = 8.7494 Å
α = 73.15°, β = 73.15°, γ = 60.00°
Fractional coordinates of all 8 atoms:
Ho 0.3837 0.3837 0.8490
Ho 0.8685 0.8685 0.3944
Ho 0.1315 0.1315 0.6056
Ho 0.6163 0.6163 0.1510
Ag 0.7436 0.7436 0.7693
Ag 0.2564 0.2564 0.2307
Hg 0.0000 0.0000 0.0000
Ir 0.5000 0.5000 0.5000

Output
- Formation enthalpy at 0 K: -4.34 eV per formula unit
- Space-group type: No. 166



## CdSN2 (PBE)

Data for a geometry-optimized CdSN2 structure.

a = 6.0330 Å, b = 6.0330 Å, c = 6.0330 Å
α = 34.57°, β = 34.57°, γ = 34.57°
Fractional coordinates of all 4 atoms:
S 0.0000 0.0000 0.0000
N 0.9064 0.9064 0.9064
N 0.0936 0.0936 0.0936
Cd 0.5000 0.5000 0.5000

Output
- E above lowest polymorph: 0.0 meV per atom
- Raw formation energy: 910.8 meV per atom
- Space-group type: No. 166



## CsMg2Cu2 (PBE)

Data for a geometry-optimized CsMg2Cu2 structure.

a = 4.7034 Å, b = 4.7034 Å, c = 6.6800 Å
α = 69.39°, β = 69.39°, γ = 90.00°
Fractional coordinates of all 5 atoms:
Cs 0.0000 0.0000 0.0000
Mg 0.7500 0.2500 0.5000
Mg 0.2500 0.7500 0.5000
Cu 0.3853 0.3853 0.2295
Cu 0.6147 0.6147 0.7705

Output
- Formation enthalpy at 0 K: 1.32 eV per formula unit
- Space-group type: No. 139